Density functional theory data (PBE) for a relaxed structure of TbNdScCd.

Results
The total energy is -4.19 eV per atom. As for the space group: Amm2. The energy of formation from the pure elements comes out at -0.1 eV per formula unit. The value obtained for the energy above the most stable polymorph in this dataset is 22.6 meV/atom.

Unit cell a=3.4006 b=3.4495 c=9.8673 alpha=90.00 beta=99.93 gamma=90.00
Fractional positions:
Tb (0.2765, 0.4297, 0.5533)
Nd (0.4394, 0.9297, 0.8786)
Sc (0.6558, 0.9296, 0.3119)
Cd (0.0586, 0.4295, 0.1169)

***

Density functional theory data (PBE) for a relaxed structure of GaGeMo3.

Results
The total energy is -6.75 eV per atom. As for the space group: Pm-3m. The energy of formation from the pure elements comes out at 6.4 eV per formula unit. The value obtained for the energy above the most stable polymorph in this dataset is 1092.9 meV/atom.

Unit cell a=4.6061 b=4.6061 c=4.6061 alpha=90.00 beta=90.00 gamma=90.00
Fractional positions:
Mo (0.0000, 0.5000, 0.0000)
Mo (0.0000, 0.0000, 0.5000)
Mo (0.5000, 0.0000, 0.0000)
Ge (0.0000, 0.0000, 0.0000)
Ga (0.5000, 0.5000, 0.5000)

***

Density functional theory data (PBE) for a relaxed structure of Tb2Ga3Pt.

Results
The total energy is -4.94 eV per atom. As for the space group: Cm. The energy of formation from the pure elements comes out at -5.2 eV per formula unit. The value obtained for the energy above the most stable polymorph in this dataset is 0.0 meV/atom.

Unit cell a=4.4478 b=5.6296 c=5.7530 alpha=78.02 beta=67.26 gamma=66.73
Fractional positions:
Tb (0.5411, 0.2156, 0.7021)
Tb (0.4544, 0.7942, 0.2970)
Ga (0.8406, 0.6180, 0.7008)
Ga (0.8337, 0.2260, 0.1065)
Ga (0.1639, 0.7696, 0.9026)
Pt (0.1662, 0.3766, 0.2909)

***

Density functional theory data (PBE) for a relaxed structure of TaMoOs.

Results
The total energy is -11.25 eV per atom. As for the space group: Fmm2. The energy of formation from the pure elements comes out at 0.2 eV per formula unit. The value obtained for the energy above the most stable polymorph in this dataset is 133.6 meV/atom.

Unit cell a=7.0279 b=6.8271 c=2.7900 alpha=82.46 beta=74.37 gamma=23.18
Fractional positions:
Mo (0.9973, 0.9973, 0.0027)
Os (0.3345, 0.3345, 0.6655)
Ta (0.6683, 0.6683, 0.3317)

***

Density functional theory data (PBE) for a relaxed structure of Tc2Ni.

Results
The total energy is -8.81 eV per atom. As for the space group: Immm. The energy of formation from the pure elements comes out at 0.1 eV per formula unit. The value obtained for the energy above the most stable polymorph in this dataset is 94.9 meV/atom.

Unit cell a=4.6100 b=4.6100 c=4.6100 alpha=147.06 beta=130.20 gamma=61.01
Fractional positions:
Ni (0.0000, 0.0000, 0.0000)
Tc (0.3362, 0.3362, 0.0000)
Tc (0.6638, 0.6638, 0.0000)

***

Density functional theory data (PBE) for a relaxed structure of SmFeAgC.

Results
The total energy is -6.38 eV per atom. As for the space group: P4/nmm. The energy of formation from the pure elements comes out at -0.2 eV per formula unit.

Unit cell a=3.6176 b=3.6176 c=9.9871 alpha=90.00 beta=90.00 gamma=90.00
Fractional positions:
Sm (0.7500, 0.7500, 0.2260)
Sm (0.2500, 0.2500, 0.7740)
Fe (0.7500, 0.2500, 0.0000)
Fe (0.2500, 0.7500, 0.0000)
Ag (0.2500, 0.7500, 0.5000)
Ag (0.7500, 0.2500, 0.5000)
C (0.7500, 0.7500, 0.9163)
C (0.2500, 0.2500, 0.0837)

***

Density functional theory data (PBE) for a relaxed structure of KSiPt.

Results
The total energy is -4.60 eV per atom. As for the space group: P-6m2. The value obtained for the energy above the most stable polymorph in this dataset is 45.2 meV/atom. The uncorrected formation energy comes out at -9.48 kcal/mol of atoms.

Unit cell a=5.5060 b=4.0468 c=4.0468 alpha=120.00 beta=90.00 gamma=90.00
Fractional positions:
K (0.6667, 0.3333, 0.6667)
Si (0.1666, 0.0000, 0.0000)
Pt (0.1667, 0.6667, 0.3333)

***

Density functional theory data (PBE) for a relaxed structure of Y3Zn7Pt4.

Results
The total energy is -4.49 eV per atom. As for the space group: C2/m. The energy of formation from the pure elements comes out at -10.4 eV per formula unit.

Unit cell a=4.3645 b=7.9737 c=8.3292 alpha=68.76 beta=74.81 gamma=74.12
Fractional positions:
Y (0.2954, 0.1966, 0.2127)
Y (0.7046, 0.8034, 0.7873)
Y (0.0000, 0.5000, 0.5000)
Zn (0.3280, 0.8266, 0.5173)
Zn (0.4972, 0.1957, 0.8099)
Zn (0.8564, 0.3648, 0.9224)
Zn (0.6720, 0.1734, 0.4827)
Zn (0.1436, 0.6352, 0.0776)
Zn (0.0000, 0.0000, 0.0000)
Zn (0.5028, 0.8043, 0.1901)
Pt (0.6613, 0.4628, 0.2145)
Pt (0.3387, 0.5372, 0.7855)
Pt (0.8812, 0.9045, 0.3331)
Pt (0.1188, 0.0955, 0.6669)

***

Density functional theory data (PBE) for a relaxed structure of TeAsIr3.

Results
The total energy is -5.15 eV per atom. As for the space group: Pm-3m. The value obtained for the energy above the most stable polymorph in this dataset is 692.4 meV/atom. The uncorrected formation energy comes out at 39.85 kcal/mol of atoms.

Unit cell a=4.8530 b=4.8530 c=4.8530 alpha=90.00 beta=90.00 gamma=90.00
Fractional positions:
As (0.5000, 0.5000, 0.5000)
Ir (0.0000, 0.5000, 0.0000)
Ir (0.0000, 0.0000, 0.5000)
Ir (0.5000, 0.0000, 0.0000)
Te (0.0000, 0.0000, 0.0000)

***

Density functional theory data (PBE) for a relaxed structure of Ca2SnCl.

Results
The total energy is -3.53 eV per atom. As for the space group: R3m. The value obtained for the energy above the most stable polymorph in this dataset is 54.5 meV/atom. The uncorrected formation energy comes out at -24.52 kcal/mol of atoms.

Unit cell a=4.1580 b=4.1580 c=8.4427 alpha=75.74 beta=75.74 gamma=60.00
Fractional positions:
Ca (0.0831, 0.0831, 0.7507)
Ca (0.2537, 0.2537, 0.2390)
Sn (0.6679, 0.6679, 0.9964)
Cl (0.4954, 0.4954, 0.5139)

***

Density functional theory data (PBE) for a relaxed structure of CsNa2HgF.

Results
The total energy is -2.15 eV per atom. As for the space group: P4/mmm. The uncorrected formation energy comes out at -23.52 kcal/mol of atoms.

Unit cell a=5.0383 b=5.0383 c=6.0481 alpha=90.00 beta=90.00 gamma=90.00
Fractional positions:
Cs (0.0000, 0.0000, 0.5000)
Na (0.0000, 0.5000, 0.0000)
Na (0.5000, 0.0000, 0.0000)
Hg (0.5000, 0.5000, 0.5000)
F (0.0000, 0.0000, 0.0000)

***

Density functional theory data (PBE) for a relaxed structure of MnBe2Ru.

Results
The total energy is -6.67 eV per atom. As for the space group: P4/mmm. The energy of formation from the pure elements comes out at -0.8 eV per formula unit.

Unit cell a=3.8048 b=3.8050 c=2.9491 alpha=90.00 beta=90.00 gamma=90.00
Fractional positions:
Ru (0.0000, 0.5000, 0.5000)
Mn (0.5000, 0.0000, 0.5000)
Be (0.0000, 0.0000, 0.0000)
Be (0.5000, 0.5000, 0.0000)

***

Calculated Fermi-level density of states (states/eV/f.u.), listed in the same order as above: 5.63, 6.79, 2.89, 2.97, 3.23, 1.99, 2.74, 6.26, 10.03, 0.79, 2.30, 2.32